{"formula": "LaPrIrRh", "functional": "GGA-PBE", "state": "relaxed", "relative_energy_mev_per_atom": 0, "formation_energy_mev_per_atom": -671, "spacegroup": "Amm2 (38)", "cell": [[-0.252, 0.013, 4.015], [0.558, -4.221, 0.048], [5.646, 0.727, -1.664]], "species": ["Pr", "Ir", "Rh", "La"], "frac_coords": [[0.142, 0.000, 0.283], [0.417, 0.000, 0.834], [0.583, 0.500, 0.167], [0.858, 0.500, 0.716]]}



{"formula": "RbGdSb", "functional": "GGA-PBE", "state": "relaxed", "formation_energy_uncorrected_mev_per_atom": -466, "spacegroup": "I4mm (107)", "cell": [[-2.708, 1.162, -3.101], [-0.301, -4.075, -1.264], [-4.008, 0.485, 6.632]], "species": ["Rb", "Gd", "Sb"], "frac_coords": [[0.007, 0.007, 0.013], [0.270, 0.270, 0.540], [0.724, 0.724, 0.447]]}



{"formula": "SiTc2Te", "functional": "GGA-PBE", "state": "relaxed", "relative_energy_mev_per_atom": 19, "formation_energy_uncorrected_mev_per_atom": 14, "spacegroup": "Imm2 (44)", "cell": [[6.789, 0.528, -0.252], [4.922, 4.705, 0.252], [-5.803, -2.733, 2.298]], "species": ["Te", "Tc", "Tc", "Si"], "frac_coords": [[0.547, 0.547, 0.000], [0.934, 0.934, 0.000], [0.225, 0.725, 0.500], [0.793, 0.293, 0.500]]}



{"formula": "Tb3Sn3Ir2", "functional": "GGA-PBE", "state": "relaxed", "formation_energy_mev_per_atom": -747, "spacegroup": "Pnma (62)", "cell": [[-4.536, -2.547, -2.652], [5.037, -6.223, -2.638], [-3.050, -7.894, 12.797]], "species": ["Sn", "Sn", "Sn", "Sn", "Sn", "Sn", "Sn", "Sn", "Sn", "Sn", "Sn", "Sn", "Tb", "Tb", "Tb", "Tb", "Tb", "Tb", "Tb", "Tb", "Tb", "Tb", "Tb", "Tb", "Ir", "Ir", "Ir", "Ir", "Ir", "Ir", "Ir", "Ir"], "frac_coords": [[0.870, 0.819, 0.750], [0.389, 0.690, 0.534], [0.111, 0.190, 0.534], [0.389, 0.690, 0.966], [0.370, 0.681, 0.250], [0.111, 0.190, 0.966], [0.889, 0.810, 0.466], [0.611, 0.310, 0.466], [0.611, 0.310, 0.034], [0.130, 0.181, 0.250], [0.630, 0.319, 0.750], [0.889, 0.810, 0.034], [0.110, 0.469, 0.387], [0.390, 0.969, 0.387], [0.860, 0.830, 0.250], [0.890, 0.531, 0.613], [0.890, 0.531, 0.887], [0.390, 0.969, 0.113], [0.140, 0.170, 0.750], [0.610, 0.031, 0.887], [0.360, 0.670, 0.750], [0.640, 0.330, 0.250], [0.610, 0.031, 0.613], [0.110, 0.469, 0.113], [0.868, 0.088, 0.112], [0.368, 0.412, 0.612], [0.368, 0.412, 0.888], [0.132, 0.912, 0.888], [0.132, 0.912, 0.612], [0.868, 0.088, 0.388], [0.632, 0.588, 0.388], [0.632, 0.588, 0.112]]}



{"formula": "Tl4CdPb10", "functional": "GGA-PBE", "state": "relaxed", "formation_energy_mev_per_atom": 135, "spacegroup": "I4/m (87)", "cell": [[-0.020, -8.757, -2.486], [-2.053, 3.947, 7.941], [-6.862, 3.100, -5.115]], "species": ["Tl", "Tl", "Tl", "Tl", "Pb", "Pb", "Pb", "Pb", "Pb", "Pb", "Pb", "Pb", "Pb", "Pb", "Cd"], "frac_coords": [[0.402, 0.797, 0.200], [0.598, 0.203, 0.800], [0.797, 0.598, 0.395], [0.203, 0.402, 0.605], [0.045, 0.342, 0.903], [0.858, 0.955, 0.297], [0.342, 0.439, 0.297], [0.142, 0.045, 0.703], [0.250, 0.750, 0.500], [0.750, 0.250, 0.500], [0.439, 0.142, 0.097], [0.561, 0.858, 0.903], [0.955, 0.658, 0.097], [0.658, 0.561, 0.703], [0.000, 0.000, 0.000]]}



{"formula": "W2SeCl", "functional": "GGA-PBE", "state": "relaxed", "relative_energy_mev_per_atom": 2, "formation_energy_uncorrected_mev_per_atom": -29, "spacegroup": "Pm (6)", "cell": [[-1.889, 0.201, 2.364], [-0.738, -2.944, -0.340], [6.480, -3.462, 5.472]], "species": ["W", "W", "Cl", "Se"], "frac_coords": [[0.000, 0.042, 0.014], [0.500, 0.465, 0.217], [0.000, 0.387, 0.422], [0.500, 0.606, 0.846]]}



{"formula": "ScMoP2", "functional": "GGA-PBE", "state": "relaxed", "relative_energy_mev_per_atom": 839, "formation_energy_mev_per_atom": -35, "spacegroup": "Cmm2 (35)", "cell": [[1.739, -2.266, 0.000], [1.739, 2.266, 0.000], [0.000, 0.000, 9.432]], "species": ["Mo", "Sc", "P", "P"], "frac_coords": [[0.500, 0.500, 0.244], [0.000, 0.000, 0.493], [0.000, 0.000, 0.061], [0.500, 0.500, 0.702]]}



{"formula": "LiPtRh2", "functional": "GGA-PBE", "state": "relaxed", "relative_energy_mev_per_atom": 136, "formation_energy_mev_per_atom": -124, "spacegroup": "P4mm (99)", "cell": [[-2.159, 1.688, 0.034], [-0.398, -0.455, -2.674], [-4.509, -5.800, 1.658]], "species": ["Rh", "Rh", "Li", "Pt"], "frac_coords": [[0.500, 0.500, 0.247], [0.000, 0.000, 0.008], [0.000, 0.000, 0.502], [0.500, 0.500, 0.743]]}



{"formula": "La2WAu", "functional": "GGA-PBE", "state": "relaxed", "relative_energy_mev_per_atom": 228, "formation_energy_mev_per_atom": 323, "spacegroup": "R-3m (166)", "cell": [[9.173, -0.023, -0.013], [8.424, 3.630, -0.013], [8.424, 1.727, 3.193]], "species": ["W", "Au", "La", "La"], "frac_coords": [[0.250, 0.250, 0.250], [0.750, 0.750, 0.750], [0.996, 0.996, 0.996], [0.504, 0.504, 0.504]]}



{"formula": "MnC3", "functional": "GGA-PBE", "state": "relaxed", "relative_energy_mev_per_atom": 1880, "formation_energy_mev_per_atom": 2589, "spacegroup": "P4/mmm (123)", "cell": [[3.366, 0.000, 0.000], [0.000, 3.366, 0.000], [0.000, 0.000, 2.614]], "species": ["Mn", "C", "C", "C"], "frac_coords": [[0.000, 0.500, 0.500], [0.500, 0.000, 0.500], [0.500, 0.500, 0.000], [0.000, 0.000, 0.000]]}



{"formula": "TaZn2Co", "functional": "GGA-PBE", "state": "relaxed", "relative_energy_mev_per_atom": 133, "formation_energy_mev_per_atom": 55, "spacegroup": "P2/m (10)", "cell": [[-1.618, 3.238, -2.323], [-1.187, -1.790, -1.668], [-4.455, -0.700, 2.128]], "species": ["Ta", "Zn", "Zn", "Co"], "frac_coords": [[0.500, 0.750, 0.750], [0.000, 0.405, 0.480], [0.000, 0.095, 0.020], [0.500, 0.250, 0.250]]}



{"formula": "SrCd3Ge2", "functional": "GGA-PBE", "state": "relaxed", "relative_energy_mev_per_atom": 0, "formation_energy_mev_per_atom": -214, "spacegroup": "C2/m (12)", "cell": [[-2.287, 3.208, -2.194], [-5.229, -7.374, -0.697], [-0.654, 4.370, 7.069]], "species": ["Cd", "Cd", "Cd", "Cd", "Cd", "Cd", "Sr", "Sr", "Ge", "Ge", "Ge", "Ge"], "frac_coords": [[0.316, 0.631, 0.560], [0.952, 0.904, 0.609], [0.607, 0.215, 0.702], [0.684, 0.369, 0.440], [0.048, 0.096, 0.391], [0.393, 0.785, 0.298], [0.856, 0.712, 0.941], [0.144, 0.288, 0.059], [0.489, 0.977, 0.836], [0.791, 0.582, 0.276], [0.511, 0.023, 0.164], [0.209, 0.418, 0.724]]}